No. 1
# NiI2N2 | Alexandria | PBEsol | optimized geometry
data_NiI2N2
_chemical_formula_sum 'Ni1 I2 N2'
_cell_length_a 4.098
_cell_length_b 4.098
_cell_length_c 5.472
_cell_angle_alpha 90.00
_cell_angle_beta 90.00
_cell_angle_gamma 90.00
_symmetry_space_group_name_H-M 'P 1'
_symmetry_Int_Tables_number 1
loop_
_symmetry_equiv_pos_as_xyz
'x,y,z'
loop_
_atom_site_label
_atom_site_fract_x
_atom_site_fract_y
_atom_site_fract_z
N1 0.500 0.000 0.000
N2 0.000 0.500 0.000
I1 0.000 0.000 0.500
I2 0.500 0.500 0.500
Ni1 0.000 0.000 0.000
# Symmetry   P4/mmm, No. 123
# Formation energy (no corrections)   1.55 eV/atom

=====

No. 2
# InRe2Os | Alexandria | PBEsol | optimized geometry
data_InRe2Os
_chemical_formula_sum 'In1 Re2 Os1'
_cell_length_a 2.772
_cell_length_b 2.772
_cell_length_c 9.245
_cell_angle_alpha 90.00
_cell_angle_beta 90.00
_cell_angle_gamma 117.10
_symmetry_space_group_name_H-M 'P 1'
_symmetry_Int_Tables_number 1
loop_
_symmetry_equiv_pos_as_xyz
'x,y,z'
loop_
_atom_site_label
_atom_site_fract_x
_atom_site_fract_y
_atom_site_fract_z
Os1 0.500 0.500 0.239
Re1 0.500 0.500 0.764
Re2 0.000 0.000 0.000
In1 0.000 0.000 0.497
# Calculated formation energy   0.5914 eV per atom
# Symmetry   Cmm2, No. 35

=====

No. 3
# PbN2Cl | Alexandria | PBEsol | optimized geometry
data_PbN2Cl
_chemical_formula_sum 'Pb1 N2 Cl1'
_cell_length_a 4.269
_cell_length_b 4.269
_cell_length_c 4.269
_cell_angle_alpha 60.00
_cell_angle_beta 60.00
_cell_angle_gamma 60.00
_symmetry_space_group_name_H-M 'P 1'
_symmetry_Int_Tables_number 1
loop_
_symmetry_equiv_pos_as_xyz
'x,y,z'
loop_
_atom_site_label
_atom_site_fract_x
_atom_site_fract_y
_atom_site_fract_z
N1 0.750 0.750 0.750
N2 0.250 0.250 0.250
Cl1 0.000 0.000 0.000
Pb1 0.500 0.500 0.500
# ΔE to the lowest computed polymorph   0 meV/atom
# Symmetry   Fm-3m, No. 225
# Formation energy (no corrections)   1.88 eV/atom

=====

| no. | total energy (eV for the cell shown) |
| --- | --- |
| 1 | -18.971 |
| 2 | -39.497 |
| 3 | -15.553 |